Compound: NaIn4MoO8
Source: Alexandria
Functional: PBE with a Hubbard U
Structure: relaxed

Density of states at the Fermi level, states/eV per cell: 1.051
Total energy, eV per cell: -79.357
Space-group type: R3m (160)
Spin magnetization, μB per formula unit: 2.98

Unit cell a=6.5714 b=6.5714 c=6.4980 alpha=59.63 beta=59.63 gamma=60.00
Site moments in Bohr magnetons follow the coordinates.
Positions (direct):
Na  0.9997  0.9997  0.0008  0.00
In  0.6168  0.6168  0.1495  0.00
In  0.0019  0.4996  0.4966  0.02
In  0.4996  0.0019  0.4966  0.02
In  0.0019  0.0019  0.4966  0.02
Mo  0.3922  0.3922  0.8234  2.65
O  0.2516  0.7682  0.7286  0.01
O  0.7682  0.2516  0.7286  0.01
O  0.2516  0.2516  0.7286  0.01
O  0.2398  0.2398  0.2807  0.03
O  0.7485  0.2249  0.2781  0.01
O  0.2249  0.7485  0.2781  0.01
O  0.7485  0.7485  0.2781  0.01
O  0.7547  0.7547  0.7360  0.00

***

Compound: Na3In3MoO8
Source: Alexandria
Functional: PBE with a Hubbard U
Structure: relaxed

Total energy, eV per cell: -83.371
Space-group type: C2/m (12)
Spin magnetization, μB per formula unit: 2.00

Unit cell a=6.5572 b=6.5237 c=6.7307 alpha=118.92 beta=90.00 gamma=120.17
Site moments in Bohr magnetons follow the coordinates.
Positions (direct):
Na  0.0000  0.0000  0.0000  0.00
Na  0.0000  0.5000  0.0000  0.00
Na  0.5000  0.5000  0.0000  0.00
In  0.5000  0.0000  0.5000  0.03
In  0.5000  0.5000  0.5000  0.01
In  0.0000  0.5000  0.5000  0.01
Mo  0.0000  0.0000  0.5000  1.84
O  0.2611  0.5222  0.2911  0.02
O  0.7389  0.4778  0.7089  0.02
O  0.7790  0.5579  0.2971  0.00
O  0.2210  0.4421  0.7029  0.00
O  0.7742  0.0236  0.3013  0.00
O  0.2258  0.9764  0.6987  0.00
O  0.2493  0.0236  0.3013  0.00
O  0.7507  0.9764  0.6987  0.00

***

Compound: NaIn2MoO6
Source: Alexandria
Functional: PBE with a Hubbard U
Structure: relaxed

Density of states at the Fermi level, states/eV per cell: 2.008
Total energy, eV per cell: -55.735
Space-group type: P4mm (99)
Spin magnetization, μB per formula unit: 0.00

Unit cell a=5.2814 b=5.3482 c=5.3482 alpha=90.00 beta=90.00 gamma=90.00
Positions (direct):
Na  0.5419  0.5000  0.5000
In  0.9777  0.5000  0.0000
In  0.9777  0.0000  0.5000
Mo  0.6027  0.0000  0.0000
O  0.7413  0.2325  0.2325
O  0.7413  0.2325  0.7675
O  0.1219  0.5000  0.5000
O  0.2599  0.0000  0.0000
O  0.7413  0.7675  0.7675
O  0.7413  0.7675  0.2325

***

Compound: Na2In2Mo5O16
Source: Alexandria
Functional: PBE with a Hubbard U
Structure: relaxed

Density of states at the Fermi level, states/eV per cell: 0.000
Total energy, eV per cell: -164.504
Space-group type: P3m1 (156)
Spin magnetization, μB per formula unit: 6.00

Unit cell a=6.1829 b=6.1829 c=10.8672 alpha=90.00 beta=90.00 gamma=120.00
Site moments in Bohr magnetons follow the coordinates.
Positions (direct):
Na  0.3333  0.6667  0.9958  0.00
Na  0.0000  0.0000  0.7665  0.00
In  0.3333  0.6667  0.2887  0.03
In  0.3333  0.6667  0.6935  0.02
Mo  0.6667  0.3333  0.8571  0.01
Mo  0.3344  0.1672  0.4923  1.88
Mo  0.8328  0.6656  0.4923  1.88
Mo  0.8328  0.1672  0.4923  1.88
Mo  0.0000  0.0000  0.1347  0.01
O  0.1669  0.8331  0.1699  0.00
O  0.6662  0.8331  0.1699  0.00
O  0.1669  0.3338  0.1699  0.00
O  0.6667  0.3333  0.5969  0.10
O  0.6667  0.3333  0.0158  0.00
O  0.0000  0.0000  0.9731  0.00
O  0.4987  0.9975  0.8196  0.00
O  0.4987  0.5013  0.8196  0.00
O  0.0025  0.5013  0.8196  0.00
O  0.5041  0.0082  0.3997  -0.01
O  0.5041  0.4959  0.3997  -0.01
O  0.9918  0.4959  0.3997  -0.01
O  0.1537  0.8463  0.5987  0.00
O  0.6926  0.8463  0.5987  0.00
O  0.1537  0.3074  0.5987  0.00
O  0.0000  0.0000  0.3893  0.10

***

- Which value of spin magnetization does entry 3 give?
  0.00 μB per formula unit

***

- What is the formula in the second record?
  Na3In3MoO8